1.
Compound: Sr2AgBiO
Source: the Alexandria database
Functional: PBE-GGA
Structure: optimized geometry

It has space group P4/mmm (No. 123), with a = 6.085 Å, b = 6.085 Å, c = 5.049 Å, α = 90.00°, β = 90.00° and γ = 90.00°. Symmetry generates all atoms from Sr at (0.000, 0.500, 0.000), Ag at (0.000, 0.000, 0.000), Bi at (0.000, 0.000, 0.500) and O at (0.500, 0.500, 0.500).

The value obtained for the calculated density is 4514 kg/m3. The formation energy without anion corrections comes out at 21 meV per atom. The energy comes out at -2.990 eV/atom. As for the calculated volume: 37.383 Å³ per atom. The excess energy over the best structure of this formula in the dataset comes out at 240 meV per atom.



2.
Compound: LiZr2Cl
Source: the Alexandria database
Functional: PBE-GGA
Structure: optimized geometry

It has space group Cm (No. 8), with a = 10.102 Å, b = 3.157 Å, c = 5.827 Å, α = 90.00°, β = 120.24° and γ = 90.00°. Symmetry generates all atoms from Li at (0.000, 0.000, 0.000), Zr at (0.200, 0.000, 0.757), Zr at (0.403, 0.000, 0.400) and Cl at (0.162, 0.500, 0.361).

The value obtained for the calculated density is 4651 kg/m3. The formation energy without anion corrections comes out at -168 meV per atom. The energy comes out at -5.382 eV/atom. As for the calculated volume: 20.068 Å³ per atom. The excess energy over the best structure of this formula in the dataset comes out at 384 meV per atom.



3.
Compound: Nd2ThP
Source: the Alexandria database
Functional: PBE-GGA
Structure: optimized geometry

It has space group R-3m (No. 166, hexagonal axes), with a = 3.8831 Å, b = 3.8831 Å, c = 27.9598 Å, α = 90.00°, β = 90.00° and γ = 120.00°. Symmetry generates all atoms from Nd at (0.0000, 0.0000, 0.2289), Th at (0.0000, 0.0000, 0.0000) and P at (0.0000, 0.0000, 0.5000).

The value obtained for the calculated density is 7525 kg/m3. The energy comes out at -6.197 eV/atom. As for the calculated volume: 30.426 Å³ per atom.



4.
Compound: TaFeC
Source: the Alexandria database
Functional: PBE-GGA
Structure: optimized geometry

It has space group Fmmm (No. 69), with a = 5.515 Å, b = 5.707 Å, c = 8.644 Å, α = 90.00°, β = 90.00° and γ = 90.00°. Symmetry generates all atoms from Ta at (0.250, 0.000, 0.250), Fe at (0.000, 0.220, 0.000) and C at (0.223, 0.000, 0.500).

The value obtained for the calculated density is 12148 kg/m3. The energy comes out at -9.718 eV/atom. As for the calculated volume: 11.337 Å³ per atom.